Material: CsCd3Pt
Method: DFT, PBE
State: relaxed

Computed properties:
raw total energy: -1.825 eV/atom
M_tot: 0.0 μB per formula unit
energy relative to the lowest polymorph listed for this composition: 351 meV/atom
density of states at the Fermi level: 2.15 states/eV/cell
formation energy: 0.52 eV per formula unit

Unit cell a=4.6267 b=4.6267 c=22.2944 alpha=90.00 beta=90.00 gamma=120.00
Element x y z (fractional)
Cs 0.0000 0.0000 0.0000
Cs 0.0000 0.0000 0.5000
Cd 0.0000 0.0000 0.2500
Cd 0.0000 0.0000 0.7500
Cd 0.3333 0.6667 0.1299
Cd 0.3333 0.6667 0.3701
Cd 0.6667 0.3333 0.6299
Cd 0.6667 0.3333 0.8701
Pt 0.3333 0.6667 0.2500
Pt 0.6667 0.3333 0.7500